Entry 1:
Here is a relaxed structure of HgGeBr6 from Alexandria. Energies are from GGA-PBE.

Cell lengths 7.1656, 12.4443, 7.1278 Å; angles 90.00, 115.05, 90.00 degrees
Space group C2/m (No. 12)
One atom of each set of equivalent atoms:
Hg 0.0000 0.0000 0.0000 [2 per cell]
Ge 0.0000 0.5000 0.5000 [2 per cell]
Br 0.2012 0.5000 0.3004 [4 per cell]
Br 0.2376 0.3514 0.7398 [8 per cell]

Summary:
**Total magnetization**: 0.00 μB per formula unit
**E_tot**: -2.2186 eV per atom
**Formation energy without anion corrections**: -0.3490 eV per atom

***

Entry 2:
Here is a relaxed structure of TaTcH4 from Alexandria. Energies are from GGA-PBE.

Cell lengths 4.4280, 4.4280, 8.8891 Å; angles 90.00, 90.00, 90.00 degrees
Space group I4_1/amd (No. 141, origin choice 2)
One atom of each set of equivalent atoms:
Ta 0.0000 0.2500 0.3750 [4 per cell]
Tc 0.0000 0.2500 0.8750 [4 per cell]
H 0.2388 0.0000 0.0000 [16 per cell]

Summary:
**Total magnetization**: 0.00 μB per formula unit
**E_tot**: -5.9606 eV per atom
**Density of states at the Fermi level**: 11.2 states/eV per cell